# 1
{"formula": "La2ScCd", "functional": "GGA-PBEsol", "state": "optimized geometry", "lattice": [[3.6786, 0.0000, 0.0000], [0.0000, 5.5392, 0.0000], [-1.8393, -2.7696, 5.5090]], "species": ["Sc", "La", "La", "Cd"], "fractional_positions": [[0.4750, 0.4750, 0.9501], [0.0135, 0.0135, 0.0271], [0.2458, 0.7458, 0.4917], [0.7656, 0.2656, 0.5312]], "total_energy_ev_per_cell": -19.0}

***

# 2
{"formula": "LaScCd2", "functional": "GGA-PBEsol", "state": "optimized geometry", "lattice": [[-1.6617, 3.0882, -0.2606], [-4.5004, -2.2762, 1.7232], [1.3446, 1.1477, 5.0278]], "species": ["Sc", "La", "Cd", "Cd"], "fractional_positions": [[0.5000, 0.0000, 0.0000], [0.5000, 0.5000, 0.5000], [0.0000, 0.0000, 0.5000], [0.0000, 0.5000, 0.0000]], "total_energy_ev_per_cell": -15.3, "de_polymorph_ev_per_atom": 0.085}

***

# 3
{"formula": "La2ScCd", "functional": "GGA-PBEsol", "state": "optimized geometry", "lattice": [[-2.4167, 1.6424, 2.2062], [1.2908, -3.5816, 4.0804], [3.9867, 3.4763, 1.7791]], "species": ["Sc", "La", "La", "Cd"], "fractional_positions": [[0.5000, 0.0000, 0.0000], [0.0000, 0.5000, 0.0000], [0.0000, 0.0000, 0.5000], [0.5000, 0.5000, 0.5000]], "total_energy_ev_per_cell": -18.9}

***

# 4
{"formula": "LaScCd2", "functional": "GGA-PBEsol", "state": "optimized geometry", "lattice": [[3.5190, 0.0000, 0.0000], [0.0000, 3.5201, 0.0000], [0.0000, 0.0000, 7.8836]], "species": ["Sc", "La", "Cd", "Cd"], "fractional_positions": [[0.5000, 0.5000, 0.5000], [0.5000, 0.5000, 0.0000], [0.0000, 0.0000, 0.7113], [0.0000, 0.0000, 0.2887]], "total_energy_ev_per_cell": -15.6, "de_polymorph_ev_per_atom": 0.000}

***

# 5
{"formula": "LaSc3Cd", "functional": "GGA-PBEsol", "state": "optimized geometry", "lattice": [[5.2859, 0.0000, 0.0000], [0.0000, 5.2859, 0.0000], [0.0000, 0.0000, 5.2859]], "species": ["Sc", "Sc", "Sc", "Cd", "La"], "fractional_positions": [[0.0000, 0.5000, 0.0000], [0.0000, 0.0000, 0.5000], [0.5000, 0.0000, 0.0000], [0.0000, 0.0000, 0.0000], [0.5000, 0.5000, 0.5000]], "total_energy_ev_per_cell": -24.5}

***

# 6
{"formula": "LaCdSe2", "functional": "GGA-PBEsol", "state": "optimized geometry", "lattice": [[-3.6795, 0.8148, -0.0054], [-0.7997, -3.6174, -0.8603], [-0.3583, -1.5713, 7.0600]], "species": ["Cd", "La", "Se", "Se"], "fractional_positions": [[0.5000, 0.0000, 0.5000], [0.5000, 0.5000, 0.0000], [0.0000, 0.9986, 0.7793], [0.0000, 0.0014, 0.2207]], "total_energy_ev_per_cell": -18.8, "formation_energy_uncorrected_ev_per_atom": -1.139}

***

# 7
{"formula": "La4CdSe", "functional": "GGA-PBEsol", "state": "optimized geometry", "lattice": [[-3.3807, 2.8911, -4.4234], [-5.6359, -2.2396, -1.6048], [-5.1917, 3.1485, 1.5773]], "species": ["Cd", "La", "La", "La", "La", "Se"], "fractional_positions": [[0.0000, 0.0000, 0.0000], [0.3749, 0.3749, 0.3749], [0.3749, 0.3749, 0.8752], [0.8752, 0.3749, 0.3749], [0.3749, 0.8752, 0.3749], [0.7500, 0.7500, 0.7500]], "total_energy_ev_per_cell": -26.3, "formation_energy_uncorrected_ev_per_atom": 0.025}

***

# 8
{"formula": "LaCd3Si", "functional": "GGA-PBEsol", "state": "optimized geometry", "lattice": [[-0.0541, -2.6898, 4.2583], [-0.7162, -4.2112, -2.6691], [4.9855, -0.6341, -0.3373]], "species": ["Si", "Cd", "Cd", "Cd", "La"], "fractional_positions": [[0.0000, 0.0000, 0.0000], [0.0000, 0.5000, 0.0000], [0.0000, 0.0000, 0.5000], [0.5000, 0.0000, 0.0000], [0.5000, 0.5000, 0.5000]], "total_energy_ev_per_cell": -13.9, "formation_energy_uncorrected_ev_per_atom": 0.154}

***

# 9
{"formula": "LaTaCdSn2", "functional": "GGA-PBEsol", "state": "optimized geometry", "lattice": [[5.1786, 0.0000, 0.0000], [0.0000, 5.1786, 0.0000], [0.0000, 0.0000, 5.6533]], "species": ["Cd", "La", "Sn", "Sn", "Ta"], "fractional_positions": [[0.0000, 0.0000, 0.0000], [0.0000, 0.0000, 0.5000], [0.0000, 0.5000, 0.0000], [0.5000, 0.0000, 0.0000], [0.5000, 0.5000, 0.5000]], "total_energy_ev_per_cell": -21.7}

***

# 10
{"formula": "LaTlCdSn2", "functional": "GGA-PBEsol", "state": "optimized geometry", "lattice": [[5.9185, 0.0000, 0.0000], [0.0000, 5.9185, 0.0000], [0.0000, 0.0000, 6.1098]], "species": ["Tl", "Cd", "Sn", "Sn", "La"], "fractional_positions": [[0.0000, 0.0000, 0.5000], [0.5000, 0.5000, 0.5000], [0.0000, 0.5000, 0.0000], [0.5000, 0.0000, 0.0000], [0.0000, 0.0000, 0.0000]], "total_energy_ev_per_cell": -14.0}

***

# 11
{"formula": "Sr2LaCd", "functional": "GGA-PBEsol", "state": "optimized geometry", "lattice": [[3.9141, 0.0000, 0.0000], [0.0000, 3.9141, 0.0000], [0.0000, 0.0000, 10.0817]], "species": ["Sr", "Sr", "Cd", "La"], "fractional_positions": [[0.5000, 0.5000, 0.0179], [0.0000, 0.0000, 0.6890], [0.5000, 0.5000, 0.4852], [0.0000, 0.0000, 0.3078]], "total_energy_ev_per_cell": -10.7}

***

# 12
{"formula": "SrLaCd", "functional": "GGA-PBEsol", "state": "optimized geometry", "lattice": [[-2.5742, 0.2227, 2.8550], [-2.8365, -0.7256, -2.5009], [3.4201, -6.6077, 1.0024]], "species": ["Sr", "Cd", "La"], "fractional_positions": [[0.3572, 0.3572, 0.7143], [0.0062, 0.0062, 0.0124], [0.6367, 0.6367, 0.2733]], "total_energy_ev_per_cell": -8.8}

***

# 13
{"formula": "SrLaCd4", "functional": "GGA-PBEsol", "state": "optimized geometry", "lattice": [[-5.2117, 2.8419, -0.9041], [-4.9112, -3.1289, -1.4646], [-4.4720, -0.5970, 3.9624]], "species": ["Sr", "Cd", "Cd", "Cd", "Cd", "La"], "fractional_positions": [[0.0000, 0.0000, 0.0000], [0.3756, 0.3756, 0.3756], [0.3756, 0.3756, 0.8732], [0.8732, 0.3756, 0.3756], [0.3756, 0.8732, 0.3756], [0.7500, 0.7500, 0.7500]], "total_energy_ev_per_cell": -13.9}

***

# 14
{"formula": "SrLaCd2Tc", "functional": "GGA-PBEsol", "state": "optimized geometry", "lattice": [[4.9034, 0.0000, 0.0000], [0.0000, 5.4109, 0.0000], [0.0000, 0.0000, 5.4109]], "species": ["Sr", "Cd", "Cd", "Tc", "La"], "fractional_positions": [[0.5000, 0.5000, 0.5000], [0.0000, 0.0000, 0.5000], [0.0000, 0.5000, 0.0000], [0.0000, 0.0000, 0.0000], [0.5000, 0.0000, 0.0000]], "total_energy_ev_per_cell": -20.5}

***

# 15
{"formula": "SrLaCdW2", "functional": "GGA-PBEsol", "state": "optimized geometry", "lattice": [[-1.2619, -2.5610, -4.1908], [-4.1020, -1.8298, 2.3534], [-2.9601, 4.3574, -1.7715]], "species": ["Sr", "Cd", "W", "W", "La"], "fractional_positions": [[0.5000, 0.5000, 0.5000], [0.0000, 0.0000, 0.0000], [0.0000, 0.5000, 0.0000], [0.5000, 0.0000, 0.0000], [0.0000, 0.0000, 0.5000]], "total_energy_ev_per_cell": -26.2}